(1)
Entry from the Alexandria database: an optimized crystal structure of SrAl2Cl8 (PBE).

Lattice parameters (Å, degrees): 7.0554 7.9722 12.7358 85.27 90.00 90.00
Last column: nearest neighbours and their distance in Å.
Positions (direct):
Cl: 0.2927 0.2580 0.0914  1 Al 2.17
Al: 0.7338 0.3224 0.4235  4 Cl 2.16-2.17
Cl: 0.7073 0.7420 0.9086  1 Al 2.17
Cl: 0.9601 0.8183 0.1428  1 Al 2.16
Cl: 0.8136 0.4172 0.1099  1 Al 2.16
Al: 0.2662 0.6776 0.5765  4 Cl 2.16-2.17
Cl: 0.8136 0.5828 0.3901  1 Al 2.16
Cl: 0.7073 0.2580 0.5914  1 Al 2.17
Cl: 0.5367 0.2688 0.8539  1 Al 2.16
Cl: 0.0399 0.1817 0.8572  1 Al 2.16
Cl: 0.4633 0.2688 0.3539  1 Al 2.16
Cl: 0.4633 0.7312 0.1461  1 Al 2.16
Cl: 0.2927 0.7420 0.4086  1 Al 2.17
Cl: 0.5367 0.7312 0.6461  1 Al 2.16
Sr: 0.1508 0.5000 0.2500  8 Cl 3.07-3.10
Al: 0.7338 0.6776 0.0765  4 Cl 2.16-2.17
Cl: 0.1864 0.4172 0.6099  1 Al 2.16
Cl: 0.0399 0.8183 0.6428  1 Al 2.16
Sr: 0.8492 0.5000 0.7500  8 Cl 3.07-3.10
Cl: 0.9601 0.1817 0.3572  1 Al 2.16
Al: 0.2662 0.3224 0.9235  4 Cl 2.16-2.17
Cl: 0.1864 0.5828 0.8901  1 Al 2.16

Values from the calculation:
Energy relative to the lowest polymorph listed for this composition (eV per atom): 0.006
Total magnetic moment (μB per formula unit): 0.0



(2)
Entry from the Alexandria database: an optimized crystal structure of SrAl3Cl (PBE).

Lattice parameters (Å, degrees): 6.3000 6.3000 6.3000 90.00 90.00 90.00
Last column: nearest neighbours and their distance in Å.
Positions (direct):
Al: 0.0000 0.5000 0.0000  2 Sr 3.15
Cl: 0.5000 0.5000 0.5000  12 Al 4.45
Al: 0.5000 0.0000 0.0000  2 Sr 3.15
Sr: 0.0000 0.0000 0.0000  6 Al 3.15
Al: 0.0000 0.0000 0.5000  2 Sr 3.15

Values from the calculation:
Energy relative to the lowest polymorph listed for this composition (eV per atom): 0.918
Total magnetic moment (μB per formula unit): 1.9



The records above yield DFT total energy values of -0.14691; -0.06725 hartree per atom, respectively.
The records above yield raw formation energy values of -1.821; 1.121 eV per atom, respectively.